SmMg4Be4Zn4 | PBE | relaxed

* volume: 16.29 A^3/atom
* E_tot: -2.22 eV per atom
* M_tot: 0.01 Bohr magnetons per cell
* SG: I4/mmm
* theoretical density: 4277 kg/m3

a = 6.891 Å, b = 6.891 Å, c = 6.891 Å
α = 98.18°, β = 98.18°, γ = 135.69°
Fractional positions:
Be: 0.635 0.000 0.635
Mg: 0.740 0.500 0.240
Mg: 0.500 0.260 0.760
Be: 0.365 0.000 0.365
Zn: 0.500 0.000 0.000
Zn: 0.500 0.500 0.500
Zn: 0.000 0.000 0.500
Be: 0.000 0.365 0.365
Be: 0.000 0.635 0.635
Mg: 0.500 0.740 0.240
Mg: 0.260 0.500 0.760
Sm: 0.000 0.000 0.000
Zn: 0.000 0.500 0.000